CeSm2Tc | PBE-GGA | optimized geometry

Results
The formation energy is -126.9 meV per atom. Its energy above the most stable polymorph in this dataset is 0.000 eV/atom. The value obtained for the uncorrected energy is -104.98 eV for the cell shown.

a = 6.3929 Å, b = 7.2002 Å, c = 9.8761 Å
α = 90.00°, β = 90.00°, γ = 90.00°
Element x y z (fractional)
Ce: 0.6495 0.5563 0.2500
Ce: 0.8505 0.0563 0.2500
Ce: 0.3505 0.4437 0.7500
Ce: 0.1495 0.9437 0.7500
Sm: 0.1728 0.6760 0.0655
Sm: 0.3272 0.1760 0.4345
Sm: 0.8272 0.3240 0.5655
Sm: 0.6728 0.8240 0.9345
Sm: 0.8272 0.3240 0.9345
Sm: 0.6728 0.8240 0.5655
Sm: 0.1728 0.6760 0.4345
Sm: 0.3272 0.1760 0.0655
Tc: 0.9899 0.3648 0.2500
Tc: 0.5101 0.8648 0.2500
Tc: 0.0101 0.6352 0.7500
Tc: 0.4899 0.1352 0.7500


Ce3SmTc | PBE-GGA | optimized geometry

Results
The formation energy is 7.3 meV per atom. Its energy above the most stable polymorph in this dataset is 0.000 eV/atom. The value obtained for the uncorrected energy is -65.70 eV for the cell shown.

a = 3.4148 Å, b = 6.3032 Å, c = 11.9561 Å
α = 91.49°, β = 88.20°, γ = 72.77°
Element x y z (fractional)
Ce: 0.1243 0.7210 0.4632
Ce: 0.4331 0.2814 0.0048
Ce: 0.0102 0.9230 0.1783
Ce: 0.8757 0.2790 0.5368
Ce: 0.9898 0.0770 0.8217
Ce: 0.5669 0.7186 0.9952
Sm: 0.2078 0.5453 0.7379
Sm: 0.7922 0.4547 0.2621
Tc: 0.5488 0.9290 0.6273
Tc: 0.4512 0.0710 0.3727


Ce3SmTc | PBE-GGA | optimized geometry

Results
The formation energy is 116.7 meV per atom. Its energy above the most stable polymorph in this dataset is 0.109 eV/atom. The value obtained for the uncorrected energy is -32.30 eV for the cell shown.

a = 5.3721 Å, b = 5.3721 Å, c = 5.3721 Å
α = 90.00°, β = 90.00°, γ = 90.00°
Site moments in Bohr magnetons follow the coordinates.
Element x y z (fractional)
Ce: 0.0000 0.5000 0.0000  0.38
Ce: 0.0000 0.0000 0.5000  0.38
Ce: 0.5000 0.0000 0.0000  0.38
Sm: 0.5000 0.5000 0.5000  0.10
Tc: 0.0000 0.0000 0.0000  -0.05


CeSm2Tc | PBE-GGA | optimized geometry

Results
The formation energy is -85.3 meV per atom. Its energy above the most stable polymorph in this dataset is 0.042 eV/atom. The value obtained for the uncorrected energy is -52.16 eV for the cell shown.

a = 3.8937 Å, b = 6.3370 Å, c = 9.7177 Å
α = 90.00°, β = 90.00°, γ = 107.89°
Element x y z (fractional)
Ce: 0.4111 0.8219 0.2500
Ce: 0.5889 0.1781 0.7500
Sm: 0.1429 0.2859 0.4280
Sm: 0.8571 0.7141 0.5720
Sm: 0.8571 0.7141 0.9280
Sm: 0.1429 0.2859 0.0720
Tc: 0.7828 0.5654 0.2500
Tc: 0.2172 0.4346 0.7500